Entry from the Alexandria database: Ti2RuN after structural relaxation (GGA-PBE).

Summary:
Formation energy from raw total energies in eV per atom: -1.080
Crystal system: trigonal
Size of the total moment in μB per formula unit: 0.00

Cell lengths 2.9499, 2.9499, 19.7688 Å; angles 90.00, 90.00, 120.00 degrees
Closest atoms and distances in Å follow each position.
Space group R-3m (No. 166, hexagonal axes)
Symmetry-distinct sites (fractional):
Ti  0.0000  0.0000  0.2283 x6  3 N 2.09
Ru  0.0000  0.0000  0.0000 x3  6 Ti 2.69, 6 Ru 2.95
N  0.0000  0.0000  0.5000 x3  6 Ti 2.09

=====

Entry from the Alexandria database: Ti2RuN after structural relaxation (GGA-PBE).

Summary:
Formation energy from raw total energies in eV per atom: -0.520
Crystal system: tetragonal
Size of the total moment in μB per formula unit: 0.00

Cell lengths 5.6905, 5.6905, 7.3096 Å; angles 90.00, 90.00, 90.00 degrees
Closest atoms and distances in Å follow each position.
Space group I-42d (No. 122)
Symmetry-distinct sites (fractional):
Ti  0.1737  0.2500  0.1250 x8  2 N 1.96
Ru  0.0000  0.0000  0.5000 x4  4 Ti 2.51
N  0.0000  0.0000  0.0000 x4  4 Ti 1.96

=====

Entry from the Alexandria database: TiV2RuN after structural relaxation (GGA-PBE).

Summary:
Formation energy from raw total energies in eV per atom: -0.645
Crystal system: tetragonal
Size of the total moment in μB per formula unit: 0.00

Cell lengths 3.8975, 3.8975, 4.1429 Å; angles 90.00, 90.00, 90.00 degrees
Closest atoms and distances in Å follow each position.
Space group P4/mmm (No. 123)
Symmetry-distinct sites (fractional):
Ti  0.0000  0.0000  0.0000 x1  2 N 2.07
V  0.0000  0.5000  0.5000 x2  2 N 1.95
Ru  0.5000  0.5000  0.0000 x1  4 Ti 2.76, 8 V 2.84
N  0.0000  0.0000  0.5000 x1  4 V 1.95, 2 Ti 2.07

=====

Entry from the Alexandria database: Zr2TiRuN after structural relaxation (GGA-PBE).

Summary:
Formation energy from raw total energies in eV per atom: -0.827
Crystal system: tetragonal
Size of the total moment in μB per formula unit: 0.49

Cell lengths 4.5422, 4.5422, 3.9199 Å; angles 90.00, 90.00, 90.00 degrees
Closest atoms and distances in Å follow each position.
Space group P4/mmm (No. 123)
Symmetry-distinct sites (fractional):
Zr  0.0000  0.5000  0.0000 x2  2 N 2.27
Ti  0.0000  0.0000  0.5000 x1  2 N 1.96
Ru  0.5000  0.5000  0.5000 x1  8 Zr 3.00, 4 Ti 3.21
N  0.0000  0.0000  0.0000 x1  2 Ti 1.96

=====

Entry from the Alexandria database: TlRu3N after structural relaxation (GGA-PBE).

Summary:
Formation energy from raw total energies in eV per atom: 0.348
Crystal system: cubic
Size of the total moment in μB per formula unit: 0.00

Cell lengths 4.1274, 4.1274, 4.1274 Å; angles 90.00, 90.00, 90.00 degrees
Closest atoms and distances in Å follow each position.
Space group Pm-3m (No. 221)
Symmetry-distinct sites (fractional):
Tl  0.0000  0.0000  0.0000 x1  12 Ru 2.92
Ru  0.0000  0.5000  0.5000 x3  2 N 2.06
N  0.5000  0.5000  0.5000 x1  6 Ru 2.06

=====

Entry from the Alexandria database: TlRu2N after structural relaxation (GGA-PBE).

Summary:
Formation energy from raw total energies in eV per atom: 0.396
Crystal system: tetragonal
Size of the total moment in μB per formula unit: 0.00

Cell lengths 6.4109, 6.4109, 6.0923 Å; angles 90.00, 90.00, 90.00 degrees
Closest atoms and distances in Å follow each position.
Space group I-42d (No. 122)
Symmetry-distinct sites (fractional):
Tl  0.0000  0.0000  0.0000 x4  8 Ru 2.90-3.01, 2 N 3.05
Ru  0.1216  0.2500  0.6250 x8  2 N 1.94
N  0.0000  0.0000  0.5000 x4  4 Ru 1.94

=====

Entry from the Alexandria database: TlRu2N after structural relaxation (GGA-PBE).

Summary:
Formation energy from raw total energies in eV per atom: 1.646
Crystal system: cubic
Size of the total moment in μB per formula unit: 0.00

Cell lengths 6.1813, 6.1813, 6.1813 Å; angles 90.00, 90.00, 90.00 degrees
Closest atoms and distances in Å follow each position.
Space group Fm-3m (No. 225)
Symmetry-distinct sites (fractional):
Tl  0.0000  0.0000  0.0000 x4  8 Ru 2.68
Ru  0.2500  0.2500  0.2500 x8  4 Tl 2.68, 4 N 2.68
N  0.0000  0.0000  0.5000 x4  8 Ru 2.68

=====

Entry from the Alexandria database: TlRu3N after structural relaxation (GGA-PBE).

Summary:
Formation energy from raw total energies in eV per atom: 3.398
Crystal system: cubic
Size of the total moment in μB per formula unit: 8.43

Cell lengths 5.0795, 5.0795, 5.0795 Å; angles 90.00, 90.00, 90.00 degrees
Closest atoms and distances in Å follow each position.
Space group Pm-3m (No. 221)
Symmetry-distinct sites (fractional):
Tl  0.0000  0.0000  0.0000 x1  6 Ru 2.54
Ru  0.0000  0.0000  0.5000 x3  2 Tl 2.54
N  0.5000  0.5000  0.5000 x1  12 Ru 3.59

=====

Entry from the Alexandria database: TlRuWN2 after structural relaxation (GGA-PBE).

Summary:
Formation energy from raw total energies in eV per atom: 1.154
Crystal system: tetragonal
Size of the total moment in μB per formula unit: 1.96

Cell lengths 3.9070, 3.9070, 5.8699 Å; angles 90.00, 90.00, 90.00 degrees
Closest atoms and distances in Å follow each position.
Space group P4/mmm (No. 123)
Symmetry-distinct sites (fractional):
Tl  0.0000  0.0000  0.0000 x1  4 Ru 2.76, 2 W 2.93
Ru  0.5000  0.5000  0.0000 x1  4 Tl 2.76
W  0.0000  0.0000  0.5000 x1  4 N 1.95
N  0.0000  0.5000  0.5000 x2  2 W 1.95

=====

Entry from the Alexandria database: YTl2RuN after structural relaxation (GGA-PBE).

Summary:
Formation energy from raw total energies in eV per atom: 0.260
Crystal system: tetragonal
Size of the total moment in μB per formula unit: 0.00

Cell lengths 5.3829, 5.3829, 3.7641 Å; angles 90.00, 90.00, 90.00 degrees
Closest atoms and distances in Å follow each position.
Space group P4/mmm (No. 123)
Symmetry-distinct sites (fractional):
Y  0.0000  0.0000  0.0000 x1  8 Tl 3.28
Tl  0.0000  0.5000  0.5000 x2  2 N 2.69
Ru  0.5000  0.5000  0.0000 x1  2 N 1.88
N  0.5000  0.5000  0.5000 x1  2 Ru 1.88

=====

Entry from the Alexandria database: Y2TlRuN after structural relaxation (GGA-PBE).

Summary:
Formation energy from raw total energies in eV per atom: -0.640
Crystal system: tetragonal
Size of the total moment in μB per formula unit: 0.00

Cell lengths 4.9638, 4.9638, 3.9817 Å; angles 90.00, 90.00, 90.00 degrees
Closest atoms and distances in Å follow each position.
Space group P4/mmm (No. 123)
Symmetry-distinct sites (fractional):
Y  0.0000  0.5000  0.0000 x2  2 N 2.48
Tl  0.0000  0.0000  0.5000 x1  8 Y 3.18, 4 Ru 3.51
Ru  0.5000  0.5000  0.5000 x1  2 N 1.99
N  0.5000  0.5000  0.0000 x1  2 Ru 1.99

=====

Entry from the Alexandria database: TmRuN after structural relaxation (GGA-PBE).

Summary:
Formation energy from raw total energies in eV per atom: -0.804
Crystal system: trigonal
Size of the total moment in μB per formula unit: 0.00

Cell lengths 4.0139, 4.0139, 20.9258 Å; angles 90.00, 90.00, 120.00 degrees
Closest atoms and distances in Å follow each position.
Space group R-3m (No. 166, hexagonal axes)
Symmetry-distinct sites (fractional):
Tm  0.0000  0.0000  0.1092 x6  4 N 2.27-2.32
Ru  0.0000  0.0000  0.3152 x6  1 N 2.04
N  0.0000  0.0000  0.2176 x6  1 Ru 2.04, 1 Tm 2.27

=====

Entry from the Alexandria database: Tm12Ru3N5 after structural relaxation (GGA-PBE).

Summary:
Formation energy from raw total energies in eV per atom: -0.898
Crystal system: cubic
Size of the total moment in μB per formula unit: 0.00

Cell lengths 14.9170, 14.9170, 14.9170 Å; angles 90.00, 90.00, 90.00 degrees
Closest atoms and distances in Å follow each position.
Space group Ia-3d (No. 230)
Symmetry-distinct sites (fractional):
Tm  0.0293  0.0535  0.6519 x96  2 N 2.19-2.44
Ru  0.0000  0.2500  0.1250 x24  8 Tm 2.84-2.99
N  0.0000  0.0000  0.0000 x16  6 Tm 2.44
N  0.0000  0.2500  0.3750 x24  4 Tm 2.19

=====

Entry from the Alexandria database: Tm2ZrRuN after structural relaxation (GGA-PBE).

Summary:
Formation energy from raw total energies in eV per atom: -0.706
Crystal system: tetragonal
Size of the total moment in μB per formula unit: 0.00

Cell lengths 4.6383, 4.6383, 4.3803 Å; angles 90.00, 90.00, 90.00 degrees
Closest atoms and distances in Å follow each position.
Space group P4/mmm (No. 123)
Symmetry-distinct sites (fractional):
Tm  0.0000  0.5000  0.0000 x2  2 N 2.32
Zr  0.0000  0.0000  0.5000 x1  2 N 2.19
Ru  0.5000  0.5000  0.5000 x1  8 Tm 3.19, 4 Zr 3.28
N  0.0000  0.0000  0.0000 x1  2 Zr 2.19, 4 Tm 2.32

=====

Entry from the Alexandria database: URuN2 after structural relaxation (GGA-PBE).

Summary:
Formation energy from raw total energies in eV per atom: 0.022
Crystal system: trigonal
Size of the total moment in μB per formula unit: 0.00

Cell lengths 3.3812, 3.3812, 16.6779 Å; angles 90.00, 90.00, 120.00 degrees
Closest atoms and distances in Å follow each position.
Space group R-3m (No. 166, hexagonal axes)
Symmetry-distinct sites (fractional):
U  0.0000  0.0000  0.0000 x3  2 N 1.97
Ru  0.0000  0.0000  0.5000 x3  6 N 2.11
N  0.0000  0.0000  0.1180 x6  1 U 1.97, 3 Ru 2.11

=====

Entry from the Alexandria database: URuN after structural relaxation (GGA-PBE).

Summary:
Formation energy from raw total energies in eV per atom: 0.022
Crystal system: tetragonal
Size of the total moment in μB per formula unit: 0.73

Cell lengths 4.0465, 4.0465, 6.2051 Å; angles 90.00, 90.00, 90.00 degrees
Closest atoms and distances in Å follow each position.
Space group I4mm (No. 107)
Symmetry-distinct sites (fractional):
U  0.0000  0.0000  0.0000 x2  1 N 1.97
Ru  0.0000  0.0000  0.3637 x2  1 N 1.98
N  0.0000  0.0000  0.6829 x2  1 U 1.97, 1 Ru 1.98

=====

Entry from the Alexandria database: URuN after structural relaxation (GGA-PBE).

Summary:
Formation energy from raw total energies in eV per atom: -0.366
Crystal system: trigonal
Size of the total moment in μB per formula unit: 0.00

Cell lengths 3.4916, 3.4916, 4.3713 Å; angles 90.00, 90.00, 120.00 degrees
Closest atoms and distances in Å follow each position.
Space group P3m1 (No. 156)
Symmetry-distinct sites (fractional):
U  0.0000  0.0000  0.0000 x1  3 N 2.22
Ru  0.6667  0.3333  0.6214 x1  3 U 2.61, 3 N 2.70
N  0.3333  0.6667  0.2118 x1  3 U 2.22

=====

Entry from the Alexandria database: URuN after structural relaxation (GGA-PBE).

Summary:
Formation energy from raw total energies in eV per atom: -0.613
Crystal system: trigonal
Size of the total moment in μB per formula unit: 0.00

Cell lengths 3.5777, 3.5777, 24.8591 Å; angles 90.00, 90.00, 120.00 degrees
Closest atoms and distances in Å follow each position.
Space group R-3m (No. 166, hexagonal axes)
Symmetry-distinct sites (fractional):
U  0.0000  0.0000  0.1024 x6  4 N 2.21-2.40
Ru  0.0000  0.0000  0.3679 x6  3 U 2.67, 3 Ru 2.69
N  0.0000  0.0000  0.1990 x6  4 U 2.21-2.40

=====

Entry from the Alexandria database: VRuN3 after structural relaxation (GGA-PBE).

Summary:
Formation energy from raw total energies in eV per atom: 1.109
Crystal system: cubic
Size of the total moment in μB per formula unit: 2.51

Cell lengths 3.8418, 3.8418, 3.8418 Å; angles 90.00, 90.00, 90.00 degrees
Closest atoms and distances in Å follow each position.
Space group Pm-3m (No. 221)
Symmetry-distinct sites (fractional):
V  0.0000  0.0000  0.0000 x1  12 N 2.72
Ru  0.5000  0.5000  0.5000 x1  6 N 1.92
N  0.0000  0.5000  0.5000 x3  2 Ru 1.92

=====

Entry from the Alexandria database: V2RuN after structural relaxation (GGA-PBE).

Summary:
Formation energy from raw total energies in eV per atom: -0.130
Crystal system: tetragonal
Size of the total moment in μB per formula unit: 0.00

Cell lengths 5.2503, 5.2503, 8.1601 Å; angles 90.00, 90.00, 90.00 degrees
Closest atoms and distances in Å follow each position.
Space group I-42d (No. 122)
Symmetry-distinct sites (fractional):
V  0.1667  0.2500  0.1250 x8  2 N 1.88
Ru  0.0000  0.0000  0.5000 x4  4 V 2.41
N  0.0000  0.0000  0.0000 x4  4 V 1.88